1.
# Mo3Os, relaxed, DFT PBE
# ΔE_f	0.194	eV per atom
# VASP energy	-171.79	eV per cell
# polymorph energy (0 for the lowest one)	0.77	eV per formula unit
data_Mo3Os
_cell_length_a 3.933
_cell_length_b 3.933
_cell_length_c 16.086
_cell_angle_alpha 90.00
_cell_angle_beta 90.00
_cell_angle_gamma 90.00
_symmetry_space_group_name_H-M 'I 4/m m m'
_symmetry_Int_Tables_number 139
_symmetry_space_group_name_Hall '-I 4 2'
loop_
_atom_site_label
_atom_site_type_symbol
_atom_site_fract_x
_atom_site_fract_y
_atom_site_fract_z
Mo1 Mo 0.000 0.000 0.122
Mo2 Mo 0.000 0.500 0.000
Mo3 Mo 0.000 0.500 0.250
Os1 Os 0.000 0.000 0.373

---

2.
# Pr2TmTh, relaxed, DFT PBE
# ΔE_f	0.213	eV per atom
# VASP energy	-82.39	eV per cell
# polymorph energy (0 for the lowest one)	0.72	eV per formula unit
data_Pr2TmTh
_cell_length_a 8.145
_cell_length_b 8.145
_cell_length_c 8.145
_cell_angle_alpha 90.00
_cell_angle_beta 90.00
_cell_angle_gamma 90.00
_symmetry_space_group_name_H-M 'F m -3 m'
_symmetry_Int_Tables_number 225
_symmetry_space_group_name_Hall '-F 4 2 3'
loop_
_atom_site_label
_atom_site_type_symbol
_atom_site_fract_x
_atom_site_fract_y
_atom_site_fract_z
Pr1 Pr 0.250 0.250 0.250
Tm1 Tm 0.000 0.000 0.000
Th1 Th 0.000 0.000 0.500